First-principles (GGA-PBE) data for TiAl4Cu2Rh after structural relaxation, as listed in Alexandria.

Computed properties:
energy of formation = -0.394 eV/atom
SG = R-3m
electronic total energy = -5.20 eV per atom

a = 4.2203 Å, b = 4.2203 Å, c = 7.8574 Å
α = 74.42°, β = 74.42°, γ = 60.00°
Closest atoms and distances in Å follow each position.
Atoms (fractional coordinates):
Ti (0.0000, 0.0000, 0.0000)  8 Al 2.72-2.83, 6 Cu 2.99
Al (0.3877, 0.3877, 0.8370)  3 Cu 2.49, 1 Rh 2.52, 3 Ti 2.72
Al (0.8738, 0.8738, 0.3787)  3 Rh 2.60, 4 Cu 2.67-2.91, 1 Ti 2.83
Al (0.1262, 0.1262, 0.6213)  3 Rh 2.60, 4 Cu 2.67-2.91, 1 Ti 2.83
Al (0.6123, 0.6123, 0.1630)  3 Cu 2.49, 1 Rh 2.52, 3 Ti 2.72
Cu (0.7440, 0.7440, 0.7679)  6 Al 2.49-2.67
Cu (0.2560, 0.2560, 0.2321)  6 Al 2.49-2.67
Rh (0.5000, 0.5000, 0.5000)  8 Al 2.52-2.60

=====

First-principles (GGA-PBE) data for SrLi3Zn after structural relaxation, as listed in Alexandria.

Computed properties:
energy of formation = 0.950 eV/atom
energy above the most stable polymorph in this dataset = 1.0030 eV/atom
SG = Pm-3m
electronic total energy = -0.79 eV per atom

a = 6.5999 Å, b = 6.5999 Å, c = 6.5999 Å
α = 90.00°, β = 90.00°, γ = 90.00°
Closest atoms and distances in Å follow each position.
Atoms (fractional coordinates):
Sr (0.0000, 0.0000, 0.0000)  6 Li 3.30
Zn (0.5000, 0.5000, 0.5000)  12 Li 4.67
Li (0.0000, 0.5000, 0.0000)  2 Sr 3.30
Li (0.0000, 0.0000, 0.5000)  2 Sr 3.30
Li (0.5000, 0.0000, 0.0000)  2 Sr 3.30